# 1
An optimized crystal structure of Ta3PdRh. Source: Alexandria via LeMat-Bulk, functional GGA-PBE.

Geometry as POSCAR:
```
Ta3PdRh
1.0
4.763 0.000 0.000
0.000 4.763 0.000
0.000 0.000 4.763
Ta Pd Rh
3 1 1
Direct
0.000 0.000 0.500
0.000 0.500 0.000
0.500 0.000 0.000
0.500 0.500 0.500
0.000 0.000 0.000
```

Properties
Crystal system ... cubic
Calculated total energy ... -0.626 Ry per atom
ΔE to the lowest computed polymorph ... 0.00 kJ per mole of atoms
Energy of formation ... 1098.7 meV per atom

***

# 2
An optimized crystal structure of LuTlInPd. Source: Alexandria via LeMat-Bulk, functional GGA-PBE.

Geometry as POSCAR:
```
LuTlInPd
1.0
0.000 3.533 3.533
3.533 0.000 3.533
3.533 3.533 0.000
Lu Tl In Pd
1 1 1 1
Direct
0.000 0.000 0.000
0.250 0.250 0.250
0.500 0.500 0.500
0.750 0.750 0.750
```

Properties
Crystal system ... cubic
Calculated total energy ... -0.300 Ry per atom
Energy of formation ... -379.2 meV per atom

***

# 3
An optimized crystal structure of Sm2MoC2. Source: Alexandria via LeMat-Bulk, functional GGA-PBE.

Geometry as POSCAR:
```
Sm2MoC2
1.0
5.660 -2.649 0.000
5.660 2.649 0.000
-3.143 0.000 6.070
Sm Mo C
4 2 4
Direct
0.030 0.030 0.274
0.319 0.319 0.877
0.681 0.681 0.123
0.970 0.970 0.726
0.358 0.358 0.375
0.642 0.642 0.625
0.182 0.182 0.109
0.499 0.499 0.719
0.501 0.501 0.281
0.818 0.818 0.891
```

Properties
Crystal system ... monoclinic
Calculated total energy ... -0.582 Ry per atom
ΔE to the lowest computed polymorph ... 3.44 kJ per mole of atoms
Energy of formation ... -178.4 meV per atom

***

# 4
An optimized crystal structure of ZnGa2Ag. Source: Alexandria via LeMat-Bulk, functional GGA-PBE.

Geometry as POSCAR:
```
ZnGa2Ag
1.0
3.257 0.000 0.000
0.000 3.257 0.000
0.000 0.000 6.715
Zn Ga Ag
1 2 1
Direct
0.000 0.000 0.000
0.500 0.500 0.239
0.500 0.500 0.761
0.000 0.000 0.500
```

Properties
Crystal system ... tetragonal
Calculated total energy ... -0.182 Ry per atom
Energy of formation ... 61.9 meV per atom

***

# 5
An optimized crystal structure of SmY3Tm3Se8. Source: Alexandria via LeMat-Bulk, functional GGA-PBE.

Geometry as POSCAR:
```
SmY3Tm3Se8
1.0
4.043 2.334 6.608
-4.043 2.334 6.608
0.000 -4.669 6.608
Sm Y Tm Se
1 3 3 8
Direct
0.000 0.000 0.000
0.000 0.000 0.500
0.000 0.500 0.000
0.500 0.000 0.000
0.000 0.500 0.500
0.500 0.000 0.500
0.500 0.500 0.000
0.252 0.252 0.252
0.259 0.259 0.737
0.259 0.737 0.259
0.263 0.741 0.741
0.737 0.259 0.259
0.741 0.263 0.741
0.741 0.741 0.263
0.748 0.748 0.748
```

Properties
Crystal system ... trigonal
Calculated total energy ... -0.453 Ry per atom
E_form (uncorrected) ... -1809 meV per atom

***

# 6
An optimized crystal structure of Be2AlRe. Source: Alexandria via LeMat-Bulk, functional GGA-PBE.

Geometry as POSCAR:
```
Be2AlRe
1.0
3.018 0.000 0.000
0.000 3.018 0.000
0.000 0.000 5.182
Be Al Re
2 1 1
Direct
0.000 0.000 0.219
0.000 0.000 0.781
0.500 0.500 0.500
0.500 0.500 0.000
```

Properties
Crystal system ... tetragonal
Calculated total energy ... -0.434 Ry per atom
Energy of formation ... -0.8 meV per atom

***

# 7
An optimized crystal structure of Li2TaAs. Source: Alexandria via LeMat-Bulk, functional GGA-PBE.

Geometry as POSCAR:
```
Li2TaAs
1.0
4.890 -1.389 0.000
4.890 1.389 0.000
-2.102 0.000 4.973
Li Ta As
2 1 1
Direct
0.000 0.000 0.000
0.228 0.228 0.863
0.791 0.791 0.410
0.533 0.533 0.439
```

Properties
Crystal system ... monoclinic
Calculated total energy ... -0.376 Ry per atom
Energy of formation ... -39.6 meV per atom

***

# 8
An optimized crystal structure of NaHg2HPd. Source: Alexandria via LeMat-Bulk, functional GGA-PBE.

Geometry as POSCAR:
```
NaHg2HPd
1.0
5.445 0.000 0.000
0.000 5.445 0.000
0.000 0.000 3.486
Na Hg H Pd
1 2 1 1
Direct
0.000 0.000 0.000
0.000 0.500 0.500
0.500 0.000 0.500
0.500 0.500 0.000
0.500 0.500 0.500
```

Properties
Crystal system ... tetragonal
Calculated total energy ... -0.162 Ry per atom
ΔE to the lowest computed polymorph ... 0.00 kJ per mole of atoms